# GGA-PBE PrSm5Y4, relaxed
# Calculated formation energy (eV/atom): 0.143
# ΔE to the lowest computed polymorph (eV per atom): 0.000
data_PrSm5Y4
_chemical_formula_sum 'Pr1 Sm5 Y4'
_cell_length_a 3.5089
_cell_length_b 6.8605
_cell_length_c 14.3250
_cell_angle_alpha 97.21
_cell_angle_beta 97.03
_cell_angle_gamma 90.00
_symmetry_space_group_name_H-M 'P 1'
_symmetry_Int_Tables_number 1
loop_
_symmetry_equiv_pos_as_xyz
'x,y,z'
loop_
_atom_site_label
_atom_site_type_symbol
_atom_site_fract_x
_atom_site_fract_y
_atom_site_fract_z
Y1 Y 0.0947 0.3009 0.1894
Y2 Y 0.6092 0.8083 0.2184
Y3 Y 0.9053 0.6991 0.8106
Y4 Y 0.3908 0.1917 0.7816
Sm1 Sm 0.7985 0.4003 0.5970
Sm2 Sm 0.2064 0.1034 0.4128
Sm3 Sm 0.5000 0.5000 0.0000
Sm4 Sm 0.7936 0.8966 0.5872
Sm5 Sm 0.2015 0.5997 0.4030
Pr1 Pr 0.5000 0.0000 0.0000

---

# GGA-PBE Pr4Sm7Y, relaxed
# Calculated formation energy (eV/atom): 0.081
# ΔE to the lowest computed polymorph (eV per atom): 0.000
data_Pr4Sm7Y
_chemical_formula_sum 'Pr4 Sm7 Y1'
_cell_length_a 6.9994
_cell_length_b 9.0445
_cell_length_c 9.2570
_cell_angle_alpha 83.62
_cell_angle_beta 93.59
_cell_angle_gamma 46.75
_symmetry_space_group_name_H-M 'P 1'
_symmetry_Int_Tables_number 1
loop_
_symmetry_equiv_pos_as_xyz
'x,y,z'
loop_
_atom_site_label
_atom_site_type_symbol
_atom_site_fract_x
_atom_site_fract_y
_atom_site_fract_z
Pr1 Pr 0.5551 0.6420 0.2827
Pr2 Pr 0.7659 0.8410 0.6891
Pr3 Pr 0.2341 0.1590 0.3109
Pr4 Pr 0.4449 0.3580 0.7173
Sm1 Sm 0.7365 0.5118 0.9493
Sm2 Sm 0.7080 0.1917 0.3822
Sm3 Sm 0.0144 0.6854 0.3578
Sm4 Sm 0.2920 0.8083 0.6178
Sm5 Sm 0.5000 0.0000 0.0000
Sm6 Sm 0.2635 0.4882 0.0507
Sm7 Sm 0.9856 0.3146 0.6422
Y1 Y 0.0000 0.0000 0.0000

---

# GGA-PBE Pr5Sm8Y, relaxed
# Calculated formation energy (eV/atom): 0.233
data_Pr5Sm8Y
_chemical_formula_sum 'Pr5 Sm8 Y1'
_cell_length_a 8.6324
_cell_length_b 8.6324
_cell_length_c 8.6324
_cell_angle_alpha 110.83
_cell_angle_beta 106.79
_cell_angle_gamma 110.83
_symmetry_space_group_name_H-M 'P 1'
_symmetry_Int_Tables_number 1
loop_
_symmetry_equiv_pos_as_xyz
'x,y,z'
loop_
_atom_site_label
_atom_site_type_symbol
_atom_site_fract_x
_atom_site_fract_y
_atom_site_fract_z
Sm1 Sm 0.7298 0.2553 0.3330
Sm2 Sm 0.3386 0.2641 0.4347
Sm3 Sm 0.5255 0.6032 0.2702
Sm4 Sm 0.9256 0.0962 0.6614
Sm5 Sm 0.1706 0.7359 0.0744
Sm6 Sm 0.6670 0.3968 0.9223
Sm7 Sm 0.0777 0.7447 0.4745
Sm8 Sm 0.5653 0.9038 0.8294
Pr1 Pr 0.8649 0.8958 0.1843
Pr2 Pr 0.5000 0.0000 0.5000
Pr3 Pr 0.2885 0.1042 0.9692
Pr4 Pr 0.8157 0.6806 0.7115
Pr5 Pr 0.0308 0.3194 0.1351
Y1 Y 0.2500 0.5000 0.7500

---

# GGA-PBE Pr6Sm12Y, relaxed
# Calculated formation energy (eV/atom): 0.135
# ΔE to the lowest computed polymorph (eV per atom): 0.000
data_Pr6Sm12Y
_chemical_formula_sum 'Pr6 Sm12 Y1'
_cell_length_a 8.7367
_cell_length_b 8.7367
_cell_length_c 8.7367
_cell_angle_alpha 89.35
_cell_angle_beta 89.35
_cell_angle_gamma 89.35
_symmetry_space_group_name_H-M 'P 1'
_symmetry_Int_Tables_number 1
loop_
_symmetry_equiv_pos_as_xyz
'x,y,z'
loop_
_atom_site_label
_atom_site_type_symbol
_atom_site_fract_x
_atom_site_fract_y
_atom_site_fract_z
Sm1 Sm 0.5360 0.4369 0.7776
Sm2 Sm 0.0170 0.1955 0.3584
Sm3 Sm 0.4640 0.5631 0.2224
Sm4 Sm 0.4369 0.7776 0.5360
Sm5 Sm 0.9830 0.8045 0.6416
Sm6 Sm 0.8045 0.6416 0.9830
Sm7 Sm 0.6416 0.9830 0.8045
Sm8 Sm 0.5631 0.2224 0.4640
Sm9 Sm 0.3584 0.0170 0.1955
Sm10 Sm 0.7776 0.5360 0.4369
Sm11 Sm 0.2224 0.4640 0.5631
Sm12 Sm 0.1955 0.3584 0.0170
Pr1 Pr 0.3047 0.7372 0.9066
Pr2 Pr 0.9066 0.3047 0.7372
Pr3 Pr 0.6953 0.2628 0.0934
Pr4 Pr 0.0934 0.6953 0.2628
Pr5 Pr 0.2628 0.0934 0.6953
Pr6 Pr 0.7372 0.9066 0.3047
Y1 Y 0.0000 0.0000 0.0000

---

# GGA-PBE Pr3Sm3Y2, relaxed
# Calculated formation energy (eV/atom): 0.076
# ΔE to the lowest computed polymorph (eV per atom): 0.049
data_Pr3Sm3Y2
_chemical_formula_sum 'Pr3 Sm3 Y2'
_cell_length_a 5.8544
_cell_length_b 6.0991
_cell_length_c 8.8213
_cell_angle_alpha 109.94
_cell_angle_beta 109.38
_cell_angle_gamma 90.00
_symmetry_space_group_name_H-M 'P 1'
_symmetry_Int_Tables_number 1
loop_
_symmetry_equiv_pos_as_xyz
'x,y,z'
loop_
_atom_site_label
_atom_site_type_symbol
_atom_site_fract_x
_atom_site_fract_y
_atom_site_fract_z
Pr1 Pr 0.0000 0.0000 0.0000
Pr2 Pr 0.1339 0.6913 0.2678
Pr3 Pr 0.8661 0.3087 0.7322
Sm1 Sm 0.3670 0.9207 0.7340
Sm2 Sm 0.5000 0.5000 0.0000
Sm3 Sm 0.6330 0.0793 0.2660
Y1 Y 0.7496 0.6837 0.4992
Y2 Y 0.2504 0.3163 0.5008

---

# GGA-PBE Pr2SmY5, relaxed
# Calculated formation energy (eV/atom): 0.019
# ΔE to the lowest computed polymorph (eV per atom): 0.000
data_Pr2SmY5
_chemical_formula_sum 'Pr4 Sm2 Y10'
_cell_length_a 5.1107
_cell_length_b 7.2250
_cell_length_c 14.4533
_cell_angle_alpha 90.00
_cell_angle_beta 90.00
_cell_angle_gamma 90.00
_symmetry_space_group_name_H-M 'P 1'
_symmetry_Int_Tables_number 1
loop_
_symmetry_equiv_pos_as_xyz
'x,y,z'
loop_
_atom_site_label
_atom_site_type_symbol
_atom_site_fract_x
_atom_site_fract_y
_atom_site_fract_z
Pr1 Pr 0.5000 0.7495 0.3750
Pr2 Pr 0.5000 0.7505 0.8750
Pr3 Pr 0.5000 0.2505 0.6250
Pr4 Pr 0.5000 0.2495 0.1250
Sm1 Sm 0.0000 0.5000 0.0000
Sm2 Sm 0.0000 0.0000 0.5000
Y1 Y 0.0000 0.5000 0.5000
Y2 Y 0.0000 0.4990 0.2500
Y3 Y 0.5000 0.7486 0.1250
Y4 Y 0.0000 0.0010 0.7500
Y5 Y 0.5000 0.2486 0.3750
Y6 Y 0.0000 0.9990 0.2500
Y7 Y 0.0000 0.0000 0.0000
Y8 Y 0.5000 0.2514 0.8750
Y9 Y 0.5000 0.7514 0.6250
Y10 Y 0.0000 0.5010 0.7500

---

# GGA-PBE PrSm5Y4, relaxed
# Calculated formation energy (eV/atom): 0.281
# ΔE to the lowest computed polymorph (eV per atom): 0.138
data_PrSm5Y4
_chemical_formula_sum 'Pr1 Sm5 Y4'
_cell_length_a 6.3559
_cell_length_b 7.9585
_cell_length_c 7.9585
_cell_angle_alpha 80.82
_cell_angle_beta 66.46
_cell_angle_gamma 66.46
_symmetry_space_group_name_H-M 'P 1'
_symmetry_Int_Tables_number 1
loop_
_symmetry_equiv_pos_as_xyz
'x,y,z'
loop_
_atom_site_label
_atom_site_type_symbol
_atom_site_fract_x
_atom_site_fract_y
_atom_site_fract_z
Y1 Y 0.1103 0.3008 0.3849
Y2 Y 0.4111 0.3849 0.6992
Y3 Y 0.4952 0.6151 0.3008
Y4 Y 0.7960 0.6992 0.6151
Pr1 Pr 0.2205 0.0000 0.0000
Sm1 Sm 0.1002 0.6226 0.0768
Sm2 Sm 0.6775 0.0000 0.0000
Sm3 Sm 0.7996 0.3774 0.9232
Sm4 Sm 0.7229 0.0768 0.3774
Sm5 Sm 0.1770 0.9232 0.6226

---

# GGA-PBE Pr8SmY5, relaxed
# Calculated formation energy (eV/atom): 0.244
data_Pr8SmY5
_chemical_formula_sum 'Pr8 Sm1 Y5'
_cell_length_a 8.6679
_cell_length_b 8.6679
_cell_length_c 8.6679
_cell_angle_alpha 111.34
_cell_angle_beta 105.80
_cell_angle_gamma 111.34
_symmetry_space_group_name_H-M 'P 1'
_symmetry_Int_Tables_number 1
loop_
_symmetry_equiv_pos_as_xyz
'x,y,z'
loop_
_atom_site_label
_atom_site_type_symbol
_atom_site_fract_x
_atom_site_fract_y
_atom_site_fract_z
Y1 Y 0.8161 0.6874 0.7238
Y2 Y 0.2762 0.0923 0.9636
Y3 Y 0.0364 0.3126 0.1287
Y4 Y 0.5000 0.0000 0.5000
Y5 Y 0.8713 0.9077 0.1839
Pr1 Pr 0.5679 0.9114 0.8395
Pr2 Pr 0.9282 0.0886 0.6566
Pr3 Pr 0.1605 0.7284 0.0718
Pr4 Pr 0.0736 0.7389 0.4703
Pr5 Pr 0.6653 0.3967 0.9264
Pr6 Pr 0.5297 0.6033 0.2686
Pr7 Pr 0.3434 0.2716 0.4321
Pr8 Pr 0.7314 0.2611 0.3347
Sm1 Sm 0.2500 0.5000 0.7500

---

# GGA-PBE Pr10Sm4Y, relaxed
# Calculated formation energy (eV/atom): 0.399
data_Pr10Sm4Y
_chemical_formula_sum 'Pr10 Sm4 Y1'
_cell_length_a 11.0882
_cell_length_b 9.0651
_cell_length_c 9.0651
_cell_angle_alpha 68.04
_cell_angle_beta 52.30
_cell_angle_gamma 52.30
_symmetry_space_group_name_H-M 'P 1'
_symmetry_Int_Tables_number 1
loop_
_symmetry_equiv_pos_as_xyz
'x,y,z'
loop_
_atom_site_label
_atom_site_type_symbol
_atom_site_fract_x
_atom_site_fract_y
_atom_site_fract_z
Sm1 Sm 0.7808 0.7764 0.6620
Sm2 Sm 0.5572 0.6620 0.2236
Sm3 Sm 0.2192 0.2236 0.3380
Sm4 Sm 0.4428 0.3380 0.7764
Pr1 Pr 0.2500 0.5000 0.5000
Pr2 Pr 0.2869 0.6529 0.1054
Pr3 Pr 0.7500 0.5000 0.5000
Pr4 Pr 0.9548 0.6529 0.1054
Pr5 Pr 0.6077 0.1054 0.3471
Pr6 Pr 0.0452 0.3471 0.8946
Pr7 Pr 0.7131 0.3471 0.8946
Pr8 Pr 0.0602 0.8946 0.6529
Pr9 Pr 0.9398 0.1054 0.3471
Pr10 Pr 0.3923 0.8946 0.6529
Y1 Y 0.0000 0.0000 0.0000